Density functional theory data (PBE) for a geometry-optimized Mg2CrB structure.

Calculated values
Its space group is I-42d. Its formation energy is 757 meV per atom. As for the offset from the most stable computed form: 0.00 eV/f.u. The mass density is 2.8 Mg/m³.

Cell: 8.1122 8.1122 6.0846 Å, 48.19 48.19 90.00°
Closest atoms and distances in Å follow each position.
Fractional coordinates of all 8 atoms:
Cr (0.0000, 0.0000, 0.0000)  2 B 2.03
Cr (0.7500, 0.2500, 0.5000)  2 B 2.03
Mg (0.4949, 0.1250, 0.2500)  2 B 2.31
Mg (0.2551, 0.6250, 0.2500)  2 B 2.31
Mg (0.3750, 0.5051, 0.7500)  2 B 2.31
Mg (0.8750, 0.7449, 0.7500)  2 B 2.31
B (0.5000, 0.5000, 0.0000)  2 Cr 2.03
B (0.2500, 0.7500, 0.5000)  2 Cr 2.03

=====

Density functional theory data (PBE) for a geometry-optimized MgCr3B structure.

Calculated values
Its space group is Pm-3m. Its formation energy is 393 meV per atom. As for the offset from the most stable computed form: 0.00 eV/f.u. The mass density is 5.0 Mg/m³.

Cell: 3.9944 3.9944 3.9944 Å, 90.00 90.00 90.00°
Closest atoms and distances in Å follow each position.
Fractional coordinates of all 5 atoms:
Cr (0.0000, 0.5000, 0.0000)  2 B 2.00
Cr (0.0000, 0.0000, 0.5000)  2 B 2.00
Cr (0.5000, 0.0000, 0.0000)  2 B 2.00
Mg (0.5000, 0.5000, 0.5000)  12 Cr 2.82
B (0.0000, 0.0000, 0.0000)  6 Cr 2.00